1.
KBa2PaO5: optimized geometry, PBE-GGA.

abc: 4.4514 6.6286 12.5989
angles: 90.00 90.00 90.00
With the nearest neighbours (Å) after each atom.
Space group Immm (No. 71)
One atom of each set of equivalent atoms:
1 K 0.0000 0.0000 0.0000 x2  10 O 3.31-3.34
2 Ba 0.0000 0.5000 0.2251 x4  7 O 2.61-2.91
3 Pa 0.0000 0.0000 0.5000 x2  6 O 2.18-2.23
4 O 0.0000 0.2181 0.3700 x8  1 Pa 2.18
5 O 0.0000 0.5000 0.0000 x2  2 Pa 2.23

---

2.
Cs2BaTaSe4: optimized geometry, PBE-GGA.

abc: 8.4336 8.4336 9.5757
angles: 90.00 90.00 90.00
With the nearest neighbours (Å) after each atom.
Space group I-4 (No. 82)
One atom of each set of equivalent atoms:
1 Cs 0.0000 0.0000 0.0000 x2  8 Se 3.94-4.27
2 Cs 0.0000 0.5000 0.2500 x2  4 Se 3.51
3 Ba 0.0000 0.5000 0.7500 x2  4 Se 3.15
4 Ta 0.0000 0.0000 0.5000 x2  4 Se 2.47
5 Se 0.1668 0.7994 0.6184 x8  1 Ta 2.47

---

Respective total magnetization values: 0.00, 0.13 μB/atom.
Respective D(E_F) values: 0.00, 5.70 states/eV per cell.
Respective uncorrected formation energy values: -2.882, -1.124 eV/atom.